Density functional theory data (GGA-PBEsol) for a relaxed Pr2Ti3Cl2O8 crystal.

```
Pr2Ti3Cl2O8
1.0
14.6837 0.0000 0.0000
0.0000 11.5766 0.0000
0.0000 0.0000 5.0298
Pr Ti Cl O
8 12 8 32
Direct
0.1605 0.1360 0.0228
0.1605 0.8640 0.5228
0.3395 0.3640 0.5228
0.3395 0.6360 0.0228
0.6605 0.3640 0.9772
0.6605 0.6360 0.4772
0.8395 0.1360 0.4772
0.8395 0.8640 0.9772
0.0000 0.4092 0.7500
0.0000 0.5908 0.2500
0.1633 0.4225 0.1290
0.1633 0.5775 0.6290
0.3367 0.0775 0.6290
0.3367 0.9225 0.1290
0.5000 0.0908 0.2500
0.5000 0.9092 0.7500
0.6633 0.0775 0.8710
0.6633 0.9225 0.3710
0.8367 0.4225 0.3710
0.8367 0.5775 0.8710
0.0741 0.1030 0.5180
0.0741 0.8970 0.0180
0.4259 0.3970 0.0180
0.4259 0.6030 0.5180
0.5741 0.3970 0.4820
0.5741 0.6030 0.9820
0.9259 0.1030 0.9820
0.9259 0.8970 0.4820
0.0768 0.4547 0.4371
0.0768 0.5453 0.9371
0.0816 0.3177 0.9256
0.0816 0.6823 0.4256
0.2214 0.2977 0.2508
0.2214 0.7023 0.7508
0.2393 0.4700 0.8311
0.2393 0.5300 0.3311
0.2607 0.0300 0.3311
0.2607 0.9700 0.8311
0.2786 0.2023 0.7508
0.2786 0.7977 0.2508
0.4184 0.1823 0.4256
0.4184 0.8177 0.9256
0.4232 0.0453 0.9371
0.4232 0.9547 0.4371
0.5768 0.0453 0.5629
0.5768 0.9547 0.0629
0.5816 0.1823 0.0744
0.5816 0.8177 0.5744
0.7214 0.2023 0.7492
0.7214 0.7977 0.2492
0.7393 0.0300 0.1689
0.7393 0.9700 0.6689
0.7607 0.4700 0.6689
0.7607 0.5300 0.1689
0.7786 0.2977 0.2492
0.7786 0.7023 0.7492
0.9184 0.3177 0.5744
0.9184 0.6823 0.0744
0.9232 0.4547 0.0629
0.9232 0.5453 0.5629
```

Summary:
Calculated total energy   -509.74 eV for the cell shown
Formation energy without anion corrections   -3.07 eV/atom
DOS(E_F)   0.000 states/eV/atom
ρ   4.85 g/cm3
Magnetization   0.00 Bohr magnetons per cell

=====

Density functional theory data (GGA-PBEsol) for a relaxed Ce2ZnSb4 crystal.

```
Ce2ZnSb4
1.0
4.3526 0.0000 0.0000
0.0000 4.3526 0.0000
0.0000 0.0000 9.5460
Ce Zn Sb
2 1 4
Direct
0.0000 0.5000 0.2462
0.5000 0.0000 0.7538
0.0000 0.0000 0.0000
0.0000 0.0000 0.5000
0.0000 0.5000 0.8394
0.5000 0.0000 0.1606
0.5000 0.5000 0.5000
```

Summary:
Calculated total energy   -37.87 eV for the cell shown
Formation energy without anion corrections   -0.70 eV/atom
DOS(E_F)   1.357 states/eV/atom
ρ   7.65 g/cm3
Magnetization   1.08 Bohr magnetons per cell

=====

Density functional theory data (GGA-PBEsol) for a relaxed Cr2TcMo crystal.

```
Cr2TcMo
1.0
2.5983 0.0000 0.0000
0.0000 4.1261 0.0000
-0.8666 0.0000 4.8679
Cr Tc Mo
2 1 1
Direct
0.2375 0.0000 0.2457
0.7625 0.0000 0.7543
0.5000 0.5000 0.0000
0.0000 0.5000 0.5000
```

Summary:
Calculated total energy   -43.04 eV for the cell shown
DOS(E_F)   1.024 states/eV/atom
DFT formation energy   11 kJ per mole of atoms
Relative energy among the computed polymorphs   47 meV per atom
ρ   9.48 g/cm3
Magnetization   0.00 Bohr magnetons per cell

=====

Density functional theory data (GGA-PBEsol) for a relaxed BiRhN2F crystal.

```
BiRhN2F
1.0
3.9470 0.0000 0.0000
0.0000 3.9470 0.0000
0.0000 0.0000 4.0350
Bi Rh N F
1 1 2 1
Direct
0.0000 0.0000 0.0000
0.5000 0.5000 0.5000
0.0000 0.5000 0.5000
0.5000 0.0000 0.5000
0.5000 0.5000 0.0000
```

Summary:
Calculated total energy   -29.96 eV for the cell shown
Formation energy without anion corrections   0.29 eV/atom
DOS(E_F)   0.721 states/eV/atom
ρ   9.48 g/cm3
Magnetization   0.00 Bohr magnetons per cell

=====

Density functional theory data (GGA-PBEsol) for a relaxed NaLaSiO4 crystal.

```
NaLaSiO4
1.0
7.0532 0.0000 0.0000
0.0000 5.4591 0.0000
0.0000 0.0000 9.5575
Na La Si O
4 4 4 16
Direct
0.1632 0.2500 0.0599
0.3368 0.7500 0.5599
0.6632 0.2500 0.4401
0.8368 0.7500 0.9401
0.0006 0.2500 0.6940
0.4994 0.7500 0.1940
0.5006 0.2500 0.8060
0.9994 0.7500 0.3060
0.2267 0.2500 0.4161
0.2733 0.7500 0.9161
0.7267 0.2500 0.0839
0.7733 0.7500 0.5839
0.0052 0.7500 0.5687
0.1798 0.7500 0.0743
0.2077 0.5028 0.8331
0.2077 0.9972 0.8331
0.2923 0.0028 0.3331
0.2923 0.4972 0.3331
0.3202 0.2500 0.5743
0.4948 0.2500 0.0687
0.5052 0.7500 0.9313
0.6798 0.7500 0.4257
0.7077 0.5028 0.6669
0.7077 0.9972 0.6669
0.7923 0.0028 0.1669
0.7923 0.4972 0.1669
0.8202 0.2500 0.9257
0.9948 0.2500 0.4313
```

Summary:
Calculated total energy   -216.27 eV for the cell shown
Formation energy without anion corrections   -2.94 eV/atom
DOS(E_F)   0.000 states/eV/atom
Relative energy among the computed polymorphs   8 meV per atom
ρ   4.58 g/cm3
Magnetization   0.00 Bohr magnetons per cell

=====

Density functional theory data (GGA-PBEsol) for a relaxed ZrCr2Os crystal.

```
ZrCr2Os
1.0
0.0000 3.0488 3.0488
3.0488 0.0000 3.0488
3.0488 3.0488 0.0000
Zr Cr Os
1 2 1
Direct
0.0000 0.0000 0.0000
0.2500 0.2500 0.2500
0.5000 0.5000 0.5000
0.7500 0.7500 0.7500
```

Summary:
Calculated total energy   -41.48 eV for the cell shown
DOS(E_F)   0.514 states/eV/atom
DFT formation energy   7 kJ per mole of atoms
Relative energy among the computed polymorphs   7 meV per atom
ρ   11.29 g/cm3
Magnetization   0.01 Bohr magnetons per cell

=====

Density functional theory data (GGA-PBEsol) for a relaxed RbSr2Cl crystal.

```
RbSr2Cl
1.0
0.0000 4.6180 4.6180
4.6180 0.0000 4.6180
4.6180 4.6180 0.0000
Rb Sr Cl
1 2 1
Direct
0.0000 0.0000 0.0000
0.2500 0.2500 0.2500
0.7500 0.7500 0.7500
0.5000 0.5000 0.5000
```

Summary:
Calculated total energy   -7.56 eV for the cell shown
Formation energy without anion corrections   -0.21 eV/atom
DOS(E_F)   0.759 states/eV/atom
ρ   2.50 g/cm3
Magnetization   0.00 Bohr magnetons per cell

=====

Density functional theory data (GGA-PBEsol) for a relaxed Re2PCl crystal.

```
Re2PCl
1.0
1.4240 -2.4535 0.0000
1.4240 2.4535 0.0000
0.0000 0.0000 9.2851
Re P Cl
2 1 1
Direct
0.0000 0.0000 0.0000
0.5000 0.5000 0.2418
0.0000 0.0000 0.4507
0.5000 0.5000 0.7871
```

Summary:
Calculated total energy   -32.68 eV for the cell shown
Formation energy without anion corrections   0.45 eV/atom
DOS(E_F)   0.922 states/eV/atom
Relative energy among the computed polymorphs   0 meV per atom
ρ   11.23 g/cm3
Magnetization   0.00 Bohr magnetons per cell